# YTl2Cd

Crystalline YTl2Cd at its relaxed geometry (GGA-PBE, Alexandria via LeMat-Bulk).

Properties
Density of states at the Fermi level: 0.552 states/eV per atom
Total energy: -12.9 eV for the cell shown
Energy relative to the lowest polymorph listed for this composition: 61 meV/atom
Energy relative to the elements: -196.2 meV per atom

CIF file:
```
data_YTl2Cd
_cell_length_a 5.9719
_cell_length_b 5.9719
_cell_length_c 5.9719
_cell_angle_alpha 134.81
_cell_angle_beta 134.81
_cell_angle_gamma 65.83
_space_group_name_H-M_alt 'P 1'
_space_group_IT_number 1
_space_group_name_Hall 'P 1'
loop_
_atom_site_label
_atom_site_fract_x
_atom_site_fract_y
_atom_site_fract_z
_atom_site_occupancy
Y1 0.0000 0.0000 0.0000 1
Tl1 0.5000 0.5000 0.0000 1
Tl2 0.7500 0.2500 0.5000 1
Cd1 0.2500 0.7500 0.5000 1
```

=====

# YTlCd

Crystalline YTlCd at its relaxed geometry (GGA-PBE, Alexandria via LeMat-Bulk).

Properties
Density of states at the Fermi level: 0.583 states/eV per atom
Total energy: -21.2 eV for the cell shown
Energy relative to the elements: -283.8 meV per atom

CIF file:
```
data_YTlCd
_cell_length_a 6.1663
_cell_length_b 6.1663
_cell_length_c 7.2716
_cell_angle_alpha 126.11
_cell_angle_beta 126.11
_cell_angle_gamma 47.28
_space_group_name_H-M_alt 'P 1'
_space_group_IT_number 1
_space_group_name_Hall 'P 1'
loop_
_atom_site_label
_atom_site_fract_x
_atom_site_fract_y
_atom_site_fract_z
_atom_site_occupancy
Y1 0.0000 0.0000 0.0000 1
Y2 0.0078 0.0078 0.5077 1
Tl1 0.6701 0.6701 0.9060 1
Tl2 0.6709 0.6709 0.4389 1
Cd1 0.3354 0.3354 0.5473 1
Cd2 0.3360 0.3360 0.1214 1
```

=====

# YTlCd

Crystalline YTlCd at its relaxed geometry (GGA-PBE, Alexandria via LeMat-Bulk).

Properties
Density of states at the Fermi level: 0.146 states/eV per atom
Total energy: -21.4 eV for the cell shown
Energy relative to the elements: -314.0 meV per atom

CIF file:
```
data_YTlCd
_cell_length_a 4.8985
_cell_length_b 4.8985
_cell_length_c 7.5068
_cell_angle_alpha 90.00
_cell_angle_beta 90.00
_cell_angle_gamma 120.00
_space_group_name_H-M_alt 'P 1'
_space_group_IT_number 1
_space_group_name_Hall 'P 1'
loop_
_atom_site_label
_atom_site_fract_x
_atom_site_fract_y
_atom_site_fract_z
_atom_site_occupancy
Y1 0.0000 0.0000 0.0000 1
Y2 0.0000 0.0000 0.5000 1
Tl1 0.3333 0.6667 0.2137 1
Tl2 0.3333 0.6667 0.7863 1
Cd1 0.6667 0.3333 0.2996 1
Cd2 0.6667 0.3333 0.7004 1
```

=====

# YTl2Cd

Crystalline YTl2Cd at its relaxed geometry (GGA-PBE, Alexandria via LeMat-Bulk).

Properties
Density of states at the Fermi level: 0.436 states/eV per atom
Total energy: -12.3 eV for the cell shown
Energy relative to the lowest polymorph listed for this composition: 214 meV/atom
Energy relative to the elements: -43.7 meV per atom

CIF file:
```
data_YTl2Cd
_cell_length_a 3.5858
_cell_length_b 3.5858
_cell_length_c 9.5582
_cell_angle_alpha 90.00
_cell_angle_beta 90.00
_cell_angle_gamma 113.58
_space_group_name_H-M_alt 'P 1'
_space_group_IT_number 1
_space_group_name_Hall 'P 1'
loop_
_atom_site_label
_atom_site_fract_x
_atom_site_fract_y
_atom_site_fract_z
_atom_site_occupancy
Y1 0.0000 0.0000 0.0000 1
Tl1 0.5000 0.5000 0.2606 1
Tl2 0.5000 0.5000 0.7394 1
Cd1 0.0000 0.0000 0.5000 1
```

=====

Question: Number 3 is which compound?
Answer: YTlCd

=====

Question: The highest density of states at the Fermi level belongs to which entry?
Answer: number 2